(1)
# CsHfTeSe2

CsHfTeSe2 after structural relaxation (PBE, Alexandria via LeMat-Bulk).

## Properties
* formation energy from raw total energies: -0.97 eV per atom
* volume: 161 Å³/cell
* SG: P4/mmm, No. 123
* crystal system: tetragonal

Cell and atoms, written as POSCAR:
```
CsHfTeSe2
1.0
5.315 0.000 0.000
0.000 5.315 0.000
0.000 0.000 5.705
Hf Se Cs Te
1 2 1 1
direct
0.000 0.000 0.000
0.500 0.000 0.000
0.000 0.500 0.000
0.500 0.500 0.500
0.000 0.000 0.500
```


(2)
# K2SmPuS4

K2SmPuS4 after structural relaxation (PBE, Alexandria via LeMat-Bulk).

## Properties
* formation energy from raw total energies: -1.72 eV per atom
* volume: 218 Å³/cell
* SG: P2/m, No. 10
* crystal system: monoclinic

Cell and atoms, written as POSCAR:
```
K2SmPuS4
1.0
4.135 0.000 0.000
0.000 7.168 0.119
0.000 -2.516 7.313
K Sm S Pu
2 1 4 1
direct
0.500 0.000 0.500
0.000 0.500 0.500
0.500 0.500 0.000
0.500 0.230 0.201
0.500 0.770 0.799
0.000 0.264 0.795
0.000 0.736 0.205
0.000 0.000 0.000
```


(3)
# Ba2CeSmSe6

Ba2CeSmSe6 after structural relaxation (PBE, Alexandria via LeMat-Bulk).

## Properties
* formation energy from raw total energies: -1.71 eV per atom
* volume: 662 Å³/cell
* SG: P2_1/c, No. 14
* crystal system: monoclinic

Cell and atoms, written as POSCAR:
```
Ba2CeSmSe6
1.0
-6.563 -3.343 1.329
3.572 -7.220 -0.518
2.162 0.298 10.745
Sm Se Ba Ce
2 12 4 2
direct
0.500 0.000 0.500
0.000 0.500 0.000
0.689 0.298 0.947
0.401 0.975 0.752
0.194 0.195 0.051
0.099 0.475 0.748
0.189 0.202 0.447
0.599 0.025 0.248
0.901 0.525 0.252
0.306 0.695 0.449
0.806 0.805 0.949
0.694 0.305 0.551
0.811 0.798 0.553
0.311 0.702 0.053
0.471 0.420 0.251
0.529 0.580 0.749
0.971 0.080 0.751
0.029 0.920 0.249
0.500 0.000 0.000
0.000 0.500 0.500
```